(1)
The following is a PBE calculation of crystalline TbSmIr2 at its relaxed geometry, from the Alexandria database.

* space-group type: No. 51
* energy above the lowest structure with this stoichiometry: 0.0055 eV/atom

```
8
Lattice="5.003 0.000 0.000 0.000 3.343 0.000 0.000 0.000 10.011" Properties=species:S:1:pos:R:3 pbc="T T T"
Tb 1.251 0.000 1.235
Tb 3.753 0.000 8.775
Sm 1.251 0.000 6.271
Sm 3.753 0.000 3.740
Ir 1.251 1.672 3.708
Ir 1.251 1.672 8.798
Ir 3.753 1.672 1.213
Ir 3.753 1.672 6.302
```

(2)
The following is a PBE calculation of crystalline TbSm2Ir2 at its relaxed geometry, from the Alexandria database.

* space-group type: No. 72

```
10
Lattice="-3.925 5.327 3.124 3.925 -5.327 3.124 3.925 5.327 -3.124" Properties=species:S:1:pos:R:3 pbc="T T T"
Tb 0.000 0.000 1.562
Tb 0.000 0.000 4.686
Sm 4.974 1.705 0.000
Sm 1.049 3.622 0.000
Sm 2.875 1.705 3.124
Sm -1.049 3.622 3.124
Ir 2.105 1.028 0.000
Ir 2.105 -1.028 3.124
Ir 1.820 6.355 0.000
Ir 1.820 4.299 3.124
```

(3)
The following is a PBE calculation of crystalline TbSmIr2 at its relaxed geometry, from the Alexandria database.

* space-group type: No. 38
* energy above the lowest structure with this stoichiometry: 0.0000 eV/atom

```
4
Lattice="4.194 0.000 0.000 0.000 2.000 5.347 0.000 -2.000 5.347" Properties=species:S:1:pos:R:3 pbc="T T T"
Tb 0.000 0.000 0.000
Sm 2.097 0.000 3.123
Ir 0.000 0.000 7.711
Ir 2.097 0.000 6.061
```

(4)
The following is a PBE calculation of crystalline TbSmIr2 at its relaxed geometry, from the Alexandria database.

* space-group type: No. 225
* energy above the lowest structure with this stoichiometry: 0.0054 eV/atom

```
4
Lattice="0.000 3.474 3.474 3.474 0.000 3.474 3.474 3.474 0.000" Properties=species:S:1:pos:R:3 pbc="T T T"
Tb 0.000 0.000 0.000
Sm 3.474 3.474 3.474
Ir 1.737 1.737 1.737
Ir 5.211 5.211 5.211
```

(5)
The following is a PBE calculation of crystalline Tb3SmIr8 at its relaxed geometry, from the Alexandria database.

* space-group type: No. 156
* energy above the lowest structure with this stoichiometry: 0.0060 eV/atom

```
12
Lattice="5.383 0.000 0.000 -2.692 4.662 0.000 0.000 0.000 8.749" Properties=species:S:1:pos:R:3 pbc="T T T"
Tb 0.000 0.000 0.000
Tb 0.000 0.000 3.191
Tb 0.000 3.108 7.575
Sm 0.000 3.108 4.378
Ir -1.322 2.345 1.591
Ir 1.321 0.763 5.983
Ir 1.322 2.345 1.591
Ir 0.000 4.635 1.591
Ir 2.692 1.554 3.784
Ir 2.692 1.554 8.159
Ir 4.062 0.763 5.983
Ir 2.692 3.137 5.983
```

(6)
The following is a PBE calculation of crystalline Tb5SmIr6 at its relaxed geometry, from the Alexandria database.

* space-group type: No. 10

```
12
Lattice="4.970 0.000 0.000 0.000 6.671 0.000 -2.466 0.000 7.450" Properties=species:S:1:pos:R:3 pbc="T T T"
Tb 0.000 0.000 0.000
Tb 0.013 0.000 4.966
Tb 0.013 3.335 4.962
Tb 2.491 0.000 2.483
Tb 2.491 3.335 2.488
Sm 0.000 3.335 0.000
Ir 0.006 1.659 2.504
Ir 0.006 5.012 2.504
Ir 2.485 1.646 0.000
Ir 2.485 5.025 0.000
Ir 2.497 1.659 4.946
Ir 2.497 5.012 4.946
```

no.,E_tot (eV/f.u.),DOS(E_F) (states/eV/cell)
1,-29.89,4.8
2,-34.64,7.2
3,-29.91,2.1
4,-29.89,2.5
5,-98.88,3.6
6,-90.06,4.4